No. 1
The following is a GGA-PBE calculation of OsN2ClF after structural relaxation, from Alexandria via LeMat-Bulk.

Properties
DOS at the Fermi energy   0.51 states/eV per atom
Calculated density   7.33 g/cm³
Uncorrected energy   -28.97 eV per cell
Total magnetic moment   0.874 μB per formula unit
ΔE_f (raw)   525 meV per atom

The structure in CIF format:
```
data_OsN2ClF
_cell_length_a 3.8708
_cell_length_b 3.8708
_cell_length_c 4.1247
_cell_angle_alpha 90.00
_cell_angle_beta 90.00
_cell_angle_gamma 90.00
_space_group_name_H-M_alt 'P 4/m m m'
_space_group_IT_number 123
_space_group_name_Hall '-P 4 2'
loop_
_atom_site_label
_atom_site_type_symbol
_atom_site_fract_x
_atom_site_fract_y
_atom_site_fract_z
Os1 Os 0.0000 0.0000 0.0000
N1 N 0.0000 0.5000 0.0000
Cl1 Cl 0.5000 0.5000 0.5000
F1 F 0.0000 0.0000 0.5000
```


No. 2
The following is a GGA-PBE calculation of PmBeAl after structural relaxation, from Alexandria via LeMat-Bulk.

Properties
DOS at the Fermi energy   0.48 states/eV per atom
Calculated density   5.23 g/cm³
Uncorrected energy   -24.30 eV per cell
Total magnetic moment   0.000 μB per formula unit

The structure in CIF format:
```
data_PmBeAl
_cell_length_a 3.2005
_cell_length_b 3.2005
_cell_length_c 11.2110
_cell_angle_alpha 90.00
_cell_angle_beta 90.00
_cell_angle_gamma 90.00
_space_group_name_H-M_alt 'I 4 m m'
_space_group_IT_number 107
_space_group_name_Hall 'I 4 -2'
loop_
_atom_site_label
_atom_site_type_symbol
_atom_site_fract_x
_atom_site_fract_y
_atom_site_fract_z
Pm1 Pm 0.0000 0.0000 0.0000
Be1 Be 0.0000 0.0000 0.6855
Al1 Al 0.0000 0.0000 0.2918
```


No. 3
The following is a GGA-PBE calculation of K2NiTeI after structural relaxation, from Alexandria via LeMat-Bulk.

Properties
DOS at the Fermi energy   2.16 states/eV per atom
Calculated density   3.15 g/cm³
Uncorrected energy   -13.87 eV per cell
Total magnetic moment   0.873 μB per formula unit
ΔE_f (raw)   -240 meV per atom

The structure in CIF format:
```
data_K2NiTeI
_cell_length_a 6.6512
_cell_length_b 6.6512
_cell_length_c 4.6687
_cell_angle_alpha 90.00
_cell_angle_beta 90.00
_cell_angle_gamma 90.00
_space_group_name_H-M_alt 'P 4/m m m'
_space_group_IT_number 123
_space_group_name_Hall '-P 4 2'
loop_
_atom_site_label
_atom_site_type_symbol
_atom_site_fract_x
_atom_site_fract_y
_atom_site_fract_z
K1 K 0.0000 0.5000 0.0000
Ni1 Ni 0.0000 0.0000 0.5000
Te1 Te 0.5000 0.5000 0.5000
I1 I 0.0000 0.0000 0.0000
```